DFT (PBE) results for crystalline DyGeAu at its relaxed geometry.

Structure (POSCAR):
```
DyGeAu
1.0
4.476 0.000 0.000
-2.238 3.876 0.000
0.000 0.000 7.311
Dy Ge Au
2 2 2
Direct
0.000 0.000 0.000
0.000 0.000 0.500
0.333 0.667 0.208
0.667 0.333 0.708
0.333 0.667 0.790
0.667 0.333 0.290
```

Computed properties:
space-group type	P6_3mc, No. 186

---

DFT (PBE) results for crystalline DyHo2Ge4Au4 at its relaxed geometry.

Structure (POSCAR):
```
DyHo2Ge4Au4
1.0
-2.039 2.185 12.936
2.039 -2.185 12.936
2.039 2.185 -12.936
Dy Ho Ge Au
1 2 4 4
Direct
0.000 0.000 0.000
0.351 0.851 0.500
0.649 0.149 0.500
0.188 0.688 0.500
0.452 0.452 0.000
0.548 0.548 0.000
0.812 0.312 0.500
0.093 0.593 0.500
0.255 0.255 0.000
0.745 0.745 0.000
0.907 0.407 0.500
```

Computed properties:
space-group type	Immm, No. 71

---

DFT (PBE) results for crystalline La2DyZn2Ge4Au2 at its relaxed geometry.

Structure (POSCAR):
```
La2DyZn2Ge4Au2
1.0
-2.092 2.207 12.895
2.092 -2.207 12.895
2.092 2.207 -12.895
La Dy Zn Ge Au
2 1 2 4 2
Direct
0.147 0.147 0.000
0.853 0.853 0.000
0.500 0.000 0.500
0.249 0.749 0.500
0.751 0.251 0.500
0.047 0.547 0.500
0.307 0.307 0.000
0.693 0.693 0.000
0.953 0.453 0.500
0.407 0.407 0.000
0.593 0.593 0.000
```

Computed properties:
space-group type	Immm, No. 71

---

DFT (PBE) results for crystalline DyLuGe2Au2 at its relaxed geometry.

Structure (POSCAR):
```
DyLuGe2Au2
1.0
4.458 0.000 0.000
-2.229 3.861 0.000
0.000 0.000 7.232
Dy Lu Ge Au
1 1 2 2
Direct
0.000 0.000 0.000
0.000 0.000 0.499
0.333 0.667 0.209
0.667 0.333 0.704
0.333 0.667 0.786
0.667 0.333 0.303
```

Computed properties:
space-group type	P3m1, No. 156

---

DFT (PBE) results for crystalline NdDyGe2Au2 at its relaxed geometry.

Structure (POSCAR):
```
NdDyGe2Au2
1.0
4.506 0.000 0.000
-2.253 3.902 0.000
0.000 0.000 7.518
Nd Dy Ge Au
1 1 2 2
Direct
0.000 0.000 0.000
0.000 0.000 0.498
0.333 0.667 0.703
0.667 0.333 0.216
0.333 0.667 0.298
0.667 0.333 0.761
```

Computed properties:
space-group type	P3m1, No. 156

---

DFT (PBE) results for crystalline DyScGe2Au2 at its relaxed geometry.

Structure (POSCAR):
```
DyScGe2Au2
1.0
4.422 0.000 0.000
-2.211 3.829 0.000
0.000 0.000 7.122
Dy Sc Ge Au
1 1 2 2
Direct
0.000 0.000 0.000
0.000 0.000 0.500
0.333 0.667 0.214
0.667 0.333 0.697
0.333 0.667 0.782
0.667 0.333 0.309
```

Computed properties:
space-group type	P3m1, No. 156

---

Number 1: E -5.00 eV per atom. Number 2: E -4.74 eV per atom. Number 3: E -4.50 eV per atom. Number 4: E -4.96 eV per atom. Number 5: E -5.03 eV per atom. Number 6: E -5.23 eV per atom.